# 1
BaSc2In2O7 | PBE | optimized geometry

Unit cell a=4.3780 b=4.3747 c=9.4217 alpha=103.43 beta=103.43 gamma=90.00
Sites, in units of the cell vectors:
O  0.6334  0.1343  0.2668
O  0.7430  0.7436  0.4860
O  0.3666  0.8675  0.7332
O  0.1323  0.6320  0.2647
O  0.8677  0.3675  0.7354
O  0.2570  0.2575  0.5140
O  0.5000  0.4562  0.0000
Sc  0.7504  0.2516  0.5007
Sc  0.2496  0.7509  0.4993
Ba  0.0000  0.0275  0.0000
In  0.6150  0.6204  0.2299
In  0.3851  0.3906  0.7701

* raw formation energy: -56.27 kcal/mol of atoms
* volume: 14.2 A^3/atom
* M_tot: 0.000 μB/cell
* calculated total energy: -7.0042 eV/atom

# 2
Tm3Ge2Pt7 | PBE | optimized geometry

Unit cell a=3.9504 b=4.1357 c=13.8072 alpha=98.61 beta=90.00 gamma=90.00
Sites, in units of the cell vectors:
Tm  0.5000  0.3157  0.6314
Tm  0.5000  0.5000  0.0000
Tm  0.5000  0.6843  0.3686
Pt  0.5000  0.0773  0.1545
Pt  0.0000  0.0000  0.0000
Pt  0.0000  0.4203  0.8406
Pt  0.0000  0.2193  0.4386
Pt  0.0000  0.5797  0.1594
Pt  0.5000  0.9227  0.8455
Pt  0.0000  0.7807  0.5614
Ge  0.0000  0.8689  0.7377
Ge  0.0000  0.1311  0.2623

* volume: 18.6 A^3/atom
* M_tot: 0.000 μB/cell
* formation enthalpy at 0 K: -100.2 kJ/mol of atoms
* calculated total energy: -6.4495 eV/atom
* D(E_F): 4.62 states/eV/f.u.

# 3
Tm2AlGa3Ni4 | PBE | optimized geometry

Unit cell a=3.8759 b=3.8759 c=10.6620 alpha=90.00 beta=90.00 gamma=90.00
Sites, in units of the cell vectors:
Ni  0.5000  0.0000  0.6425
Ni  0.0000  0.0000  0.0000
Ni  0.5000  0.5000  0.0000
Ni  0.0000  0.5000  0.3575
Tm  0.5000  0.0000  0.2532
Tm  0.0000  0.5000  0.7468
Ga  0.5000  0.0000  0.8667
Ga  0.0000  0.0000  0.5000
Ga  0.0000  0.5000  0.1333
Al  0.5000  0.5000  0.5000

* volume: 16.0 A^3/atom
* M_tot: 0.000 μB/cell
* formation enthalpy at 0 K: -55.8 kJ/mol of atoms
* calculated total energy: -5.0676 eV/atom
* D(E_F): 7.62 states/eV/f.u.

- Look up the M_tot of the first one.
  0.000 μB/cell